1.
Computed, not measured: CsP2Ir2 after structural relaxation at the GGA-PBEsol level of DFT.

a b c (Å): 3.924 3.924 14.116
angles (deg): 90.00 90.00 90.00
Space group I4/mmm (No. 139)
Inequivalent atoms, fractional coordinates:
1 Cs 0.000 0.000 0.000 (multiplicity 2)
2 P 0.000 0.000 0.341 (multiplicity 4)
3 Ir 0.000 0.500 0.250 (multiplicity 4)

Calculated values
The value obtained for the density of states at the Fermi level is 0.2119 states/eV per atom. For the spin magnetization, the calculation gives 0.00 μB/atom. As for the total energy: -7.09 eV per atom.

=====

2.
Computed, not measured: CsPIr2Pt after structural relaxation at the GGA-PBEsol level of DFT.

a b c (Å): 4.756 4.756 6.068
angles (deg): 90.00 90.00 90.00
Space group P4/mmm (No. 123)
Inequivalent atoms, fractional coordinates:
1 Cs 0.000 0.000 0.000 (multiplicity 1)
2 P 0.500 0.500 0.000 (multiplicity 1)
3 Ir 0.000 0.500 0.500 (multiplicity 2)
4 Pt 0.000 0.000 0.500 (multiplicity 1)

Calculated values
The value obtained for the density of states at the Fermi level is 1.2887 states/eV per atom. For the spin magnetization, the calculation gives 0.33 μB/atom. As for the total energy: -4.67 eV per atom.

=====

3.
Computed, not measured: Cs2IrPdRu after structural relaxation at the GGA-PBEsol level of DFT.

a b c (Å): 5.687 5.687 4.695
angles (deg): 90.00 90.00 90.00
Space group P4/mmm (No. 123)
Inequivalent atoms, fractional coordinates:
1 Cs 0.000 0.500 0.000 (multiplicity 2)
2 Ir 0.000 0.000 0.500 (multiplicity 1)
3 Pd 0.500 0.500 0.500 (multiplicity 1)
4 Ru 0.500 0.500 0.000 (multiplicity 1)

Calculated values
The value obtained for the density of states at the Fermi level is 2.0700 states/eV per atom. For the spin magnetization, the calculation gives 0.41 μB/atom. As for the total energy: -3.66 eV per atom.

=====

4.
Computed, not measured: Cs3IrPt after structural relaxation at the GGA-PBEsol level of DFT.

a b c (Å): 6.184 6.184 6.184
angles (deg): 90.00 90.00 90.00
Space group Pm-3m (No. 221)
Inequivalent atoms, fractional coordinates:
1 Cs 0.000 0.000 0.500 (multiplicity 3)
2 Ir 0.500 0.500 0.500 (multiplicity 1)
3 Pt 0.000 0.000 0.000 (multiplicity 1)

Calculated values
The value obtained for the density of states at the Fermi level is 0.8881 states/eV per atom. For the spin magnetization, the calculation gives 0.34 μB/atom. As for the total energy: -2.84 eV per atom.